# 1
YAs3Pd5 | PBE-GGA | relaxed

Spin magnetization   0.000 μB per atom
E_form   -53.3 kJ per mole of atoms

Geometry as POSCAR:
```
YAs3Pd5
1.0
2.084 -6.890 0.000
2.084 6.890 0.000
0.000 0.000 11.455
Y As Pd
2 6 10
direct
0.181 0.819 0.750 Y
0.819 0.181 0.250 Y
0.133 0.867 0.250 As
0.410 0.590 0.092 As
0.410 0.590 0.408 As
0.590 0.410 0.592 As
0.590 0.410 0.908 As
0.867 0.133 0.750 As
0.000 0.000 0.000 Pd
0.000 0.000 0.500 Pd
0.231 0.769 0.071 Pd
0.231 0.769 0.429 Pd
0.399 0.601 0.627 Pd
0.399 0.601 0.873 Pd
0.601 0.399 0.127 Pd
0.601 0.399 0.373 Pd
0.769 0.231 0.571 Pd
0.769 0.231 0.929 Pd
```

# 2
FeH2Cl5 | PBE-GGA | relaxed

Spin magnetization   0.625 μB per atom

Geometry as POSCAR:
```
FeH2Cl5
1.0
5.525 0.000 0.000
2.436 6.440 0.000
2.684 0.288 6.753
Fe H Cl
1 2 5
direct
0.000 0.000 0.000 Fe
0.052 0.596 0.401 H
0.635 0.956 0.803 H
0.011 0.284 0.074 Cl
0.198 0.491 0.511 Cl
0.427 0.789 0.861 Cl
0.755 0.843 0.239 Cl
0.796 0.090 0.748 Cl
```

# 3
CrRe2PtAu | PBE-GGA | relaxed

Spin magnetization   0.082 μB per atom
E_form   206.0 kJ per mole of atoms

Geometry as POSCAR:
```
CrRe2PtAu
1.0
4.755 0.000 0.000
0.000 4.755 0.000
0.000 0.000 4.520
Cr Re Pt Au
1 2 1 1
direct
0.000 0.000 0.000 Cr
0.000 0.500 0.500 Re
0.500 0.000 0.500 Re
0.000 0.000 0.500 Pt
0.500 0.500 0.000 Au
```

# 4
LiNiSb2 | PBE-GGA | relaxed

Spin magnetization   0.000 μB per atom
Relative energy among the computed polymorphs   6.3 kJ/mol of atoms

Geometry as POSCAR:
```
LiNiSb2
1.0
3.481 0.000 0.000
-1.741 3.015 0.000
0.000 0.000 23.765
Li Ni Sb
3 3 6
direct
0.000 0.000 0.000 Li
0.333 0.667 0.667 Li
0.667 0.333 0.333 Li
0.000 0.000 0.500 Ni
0.333 0.667 0.167 Ni
0.667 0.333 0.833 Ni
0.000 0.000 0.236 Sb
0.000 0.000 0.764 Sb
0.333 0.667 0.430 Sb
0.333 0.667 0.903 Sb
0.667 0.333 0.097 Sb
0.667 0.333 0.570 Sb
```

Number 1: raw total energy -102.7 eV/cell. Number 2: raw total energy -29.3 eV/cell. Number 3: raw total energy -33.2 eV/cell. Number 4: raw total energy -50.4 eV/cell.